1.
Below is a relaxed structure of Ce2ScSe3, with properties calculated at the GGA-PBE level.

Values from the calculation:
ΔE_f (raw) in eV per atom: -1.684
Final energy in eV/atom: -6.459
Density of states at the Fermi level in states/eV per atom: 2.015

abc: 3.9992 3.9992 21.1149
angles: 90.00 90.00 120.00
Last column: nearest neighbours and their distance in Å.
Space group P6_3/mmc (No. 194)
Asymmetric unit:
1 Ce 0.3333 0.6667 0.0854 [4 per cell]  6 Se 2.93-2.97
2 Sc 0.0000 0.0000 0.2500 [2 per cell]  6 Se 2.82
3 Se 0.0000 0.0000 0.0000 [2 per cell]  6 Ce 2.93
4 Se 0.3333 0.6667 0.6737 [4 per cell]  3 Sc 2.82, 3 Ce 2.97

2.
Below is a relaxed structure of CeSc2Se4, with properties calculated at the GGA-PBE level.

Values from the calculation:
ΔE_f (raw) in eV per atom: -1.752
Final energy in eV/atom: -6.399
Density of states at the Fermi level in states/eV per atom: 1.095

abc: 3.9471 12.8008 13.3402
angles: 90.00 90.00 90.00
Last column: nearest neighbours and their distance in Å.
Space group Cmcm (No. 63)
Asymmetric unit:
1 Ce 0.0000 0.1187 0.2500 [4 per cell]  6 Se 2.96-3.02
2 Sc 0.0000 0.3698 0.0631 [8 per cell]  6 Se 2.68-2.76
3 Se 0.0000 0.0000 0.0000 [4 per cell]  4 Sc 2.72
4 Se 0.0000 0.2698 0.6166 [8 per cell]  3 Sc 2.72-2.76, 2 Ce 3.02
5 Se 0.0000 0.4467 0.2500 [4 per cell]  2 Sc 2.68, 2 Ce 2.96

3.
Below is a relaxed structure of CeSc2Se3, with properties calculated at the GGA-PBE level.

Values from the calculation:
ΔE_f (raw) in eV per atom: -1.652
Final energy in eV/atom: -6.493
Density of states at the Fermi level in states/eV per atom: 1.325

abc: 7.9986 11.2861 23.8129
angles: 90.00 90.00 90.00
Last column: nearest neighbours and their distance in Å.
Space group Fddd (No. 70, origin choice 2)
Asymmetric unit:
1 Ce 0.1250 0.1250 0.0414 [16 per cell]  6 Se 2.92-2.93
2 Sc 0.1250 0.1250 0.3725 [16 per cell]  6 Se 2.74-2.83
3 Sc 0.1250 0.1250 0.5407 [16 per cell]  6 Se 2.72-2.80
4 Se 0.1072 0.3750 0.8750 [16 per cell]  4 Sc 2.73-2.83, 2 Ce 2.92
5 Se 0.1139 0.3661 0.7050 [32 per cell]  4 Sc 2.72-2.80, 2 Ce 2.93

4.
Below is a relaxed structure of CeSc3Se6, with properties calculated at the GGA-PBE level.

Values from the calculation:
ΔE_f (raw) in eV per atom: -1.719
Final energy in eV/atom: -6.302
Density of states at the Fermi level in states/eV per atom: 0.683

abc: 11.2369 3.9643 11.4314
angles: 90.00 109.55 90.00
Last column: nearest neighbours and their distance in Å.
Space group P2_1/m (No. 11)
Asymmetric unit:
1 Ce 0.0508 0.2500 0.2003 [2 per cell]  8 Se 2.98-3.09
2 Sc 0.1577 0.2500 0.5880 [2 per cell]  6 Se 2.65-2.75
3 Sc 0.3206 0.7500 0.0024 [2 per cell]  7 Se 2.68-2.99
4 Sc 0.4437 0.2500 0.3381 [2 per cell]  6 Se 2.70-2.77
5 Se 0.0831 0.7500 0.4119 [2 per cell]  3 Sc 2.71-2.75
6 Se 0.1234 0.2500 0.9664 [2 per cell]  2 Sc 2.90, 3 Ce 2.98-3.05
7 Se 0.2032 0.7500 0.7510 [2 per cell]  3 Sc 2.65-2.73
8 Se 0.2708 0.7500 0.2317 [2 per cell]  3 Sc 2.76-2.86
9 Se 0.3896 0.2500 0.5574 [2 per cell]  4 Sc 2.71-2.77
10 Se 0.4781 0.2500 0.1149 [2 per cell]  4 Sc 2.68-2.99

5.
Below is a relaxed structure of Ce2ScSe5, with properties calculated at the GGA-PBE level.

Values from the calculation:
ΔE_f (raw) in eV per atom: -1.710
Final energy in eV/atom: -6.163
Density of states at the Fermi level in states/eV per atom: 1.076

abc: 12.0229 8.3338 7.6969
angles: 90.00 90.00 90.00
Last column: nearest neighbours and their distance in Å.
Space group Pnma (No. 62)
Asymmetric unit:
1 Ce 0.1783 0.0010 0.0318 [8 per cell]  8 Se 2.99-3.15
2 Sc 0.0071 0.7500 0.5677 [4 per cell]  6 Se 2.68-2.81
3 Se 0.0033 0.7500 0.9611 [4 per cell]  4 Ce 3.01-3.02, 1 Sc 3.03, 1 Se 3.32
4 Se 0.0900 0.0341 0.6680 [8 per cell]  2 Sc 2.68-2.81, 1 Ce 2.99
5 Se 0.1865 0.7500 0.3371 [4 per cell]  1 Sc 2.79, 2 Ce 3.03
6 Se 0.2084 0.2500 0.3163 [4 per cell]  1 Sc 2.74, 4 Ce 3.00-3.04

6.
Below is a relaxed structure of Ce2ScSe3, with properties calculated at the GGA-PBE level.

Values from the calculation:
ΔE_f (raw) in eV per atom: -1.476
Final energy in eV/atom: -6.252
Density of states at the Fermi level in states/eV per atom: 2.448

abc: 11.8022 7.7917 6.8710
angles: 90.00 99.23 90.00
Last column: nearest neighbours and their distance in Å.
Space group C2/c (No. 15)
Asymmetric unit:
1 Ce 0.1583 0.1737 0.1682 [8 per cell]  6 Se 2.93-3.22
2 Sc 0.0000 0.4294 0.7500 [4 per cell]  5 Se 2.58-2.81
3 Se 0.0000 0.0981 0.7500 [4 per cell]  1 Sc 2.58
4 Se 0.1701 0.4543 0.5083 [8 per cell]  2 Sc 2.62-2.81, 1 Ce 2.93

> What is the formula in the fifth record?

Ce2ScSe5

Please write out number 3 again, unchanged.
Below is a relaxed structure of CeSc2Se3, with properties calculated at the GGA-PBE level.

Values from the calculation:
ΔE_f (raw) in eV per atom: -1.652
Final energy in eV/atom: -6.493
Density of states at the Fermi level in states/eV per atom: 1.325

abc: 7.9986 11.2861 23.8129
angles: 90.00 90.00 90.00
Last column: nearest neighbours and their distance in Å.
Space group Fddd (No. 70, origin choice 2)
Asymmetric unit:
1 Ce 0.1250 0.1250 0.0414 [16 per cell]  6 Se 2.92-2.93
2 Sc 0.1250 0.1250 0.3725 [16 per cell]  6 Se 2.74-2.83
3 Sc 0.1250 0.1250 0.5407 [16 per cell]  6 Se 2.72-2.80
4 Se 0.1072 0.3750 0.8750 [16 per cell]  4 Sc 2.73-2.83, 2 Ce 2.92
5 Se 0.1139 0.3661 0.7050 [32 per cell]  4 Sc 2.72-2.80, 2 Ce 2.93

Please write out number 1 again, unchanged.
Below is a relaxed structure of Ce2ScSe3, with properties calculated at the GGA-PBE level.

Values from the calculation:
ΔE_f (raw) in eV per atom: -1.684
Final energy in eV/atom: -6.459
Density of states at the Fermi level in states/eV per atom: 2.015

abc: 3.9992 3.9992 21.1149
angles: 90.00 90.00 120.00
Last column: nearest neighbours and their distance in Å.
Space group P6_3/mmc (No. 194)
Asymmetric unit:
1 Ce 0.3333 0.6667 0.0854 [4 per cell]  6 Se 2.93-2.97
2 Sc 0.0000 0.0000 0.2500 [2 per cell]  6 Se 2.82
3 Se 0.0000 0.0000 0.0000 [2 per cell]  6 Ce 2.93
4 Se 0.3333 0.6667 0.6737 [4 per cell]  3 Sc 2.82, 3 Ce 2.97

> What is the formula in the first record?

Ce2ScSe3